(1)
Material: OsSCl2
Method: DFT, PBE
State: optimized geometry

Structure (POSCAR):
```
OsSCl2
1.0
0.000 3.224 3.224
3.224 0.000 3.224
3.224 3.224 0.000
S Os Cl
1 1 2
Cartesian
0.000 0.000 0.000
3.224 3.224 3.224
1.612 1.612 1.612
4.836 4.836 4.836
```

Results
Magnetic moment (μB/atom): 0.48
Offset from the most stable computed form (kJ per mole of atoms): 123.9
ΔE_f (raw) (meV/atom): 1484
Density of states at the Fermi level (states/eV/cell): 3.08
Symmetry: Fm-3m (225)

(2)
Material: PrHoAs2
Method: DFT, PBE
State: optimized geometry

Structure (POSCAR):
```
PrHoAs2
1.0
-2.460 -3.366 -0.046
1.684 -3.814 0.049
-0.420 -2.373 7.154
Pr As Ho
1 2 1
Cartesian
-0.936 -7.159 7.101
-0.378 -2.378 5.309
-0.300 -2.388 1.855
-0.599 -4.776 3.626
```

Results
Magnetic moment (μB/atom): 0.00
Offset from the most stable computed form (kJ per mole of atoms): 16.0
Energy of formation (kJ per mole of atoms): -129.1
Density of states at the Fermi level (states/eV/cell): 0.34
Symmetry: R3m (160)

(3)
Material: Sm2GdMg
Method: DFT, PBE
State: optimized geometry

Structure (POSCAR):
```
Sm2GdMg
1.0
5.581 0.000 0.000
2.790 4.833 0.000
2.790 1.611 4.557
Sm Mg Gd
2 1 1
Cartesian
2.790 1.611 1.139
8.371 4.833 3.418
5.581 3.222 2.278
0.000 0.000 0.000
```

Results
Magnetic moment (μB/atom): 1.90
Offset from the most stable computed form (kJ per mole of atoms): 6.1
Energy of formation (kJ per mole of atoms): 3.4
Density of states at the Fermi level (states/eV/cell): 5.83
Symmetry: Fm-3m (225)

(4)
Material: Na2CaSi
Method: DFT, PBE
State: optimized geometry

Structure (POSCAR):
```
Na2CaSi
1.0
4.407 0.000 0.000
0.000 4.407 0.000
2.204 2.204 11.551
Si Na Ca
2 4 2
Cartesian
2.204 4.407 5.776
2.204 2.204 0.000
5.509 5.338 8.663
3.135 1.102 2.888
1.273 3.305 2.888
3.305 3.476 8.663
4.407 2.204 5.776
0.000 0.000 0.000
```

Results
Magnetic moment (μB/atom): 0.00
ΔE_f (raw) (meV/atom): 133
Density of states at the Fermi level (states/eV/cell): 5.83
Symmetry: I-42d (122)

(5)
Material: Pm4TlRe
Method: DFT, PBE
State: optimized geometry

Structure (POSCAR):
```
Pm4TlRe
1.0
6.210 0.247 -1.210
-2.204 7.236 -2.832
0.220 -0.315 8.068
Pm Re Tl
8 2 2
Cartesian
0.812 5.668 2.465
4.290 4.631 3.535
-1.715 6.733 -0.476
1.231 5.314 -2.114
5.942 0.435 4.502
-0.063 2.537 0.490
2.996 1.853 6.140
3.415 1.499 1.560
2.455 7.417 -3.735
1.772 -0.250 7.760
0.859 2.592 3.657
3.368 4.575 0.368
```

Results
Magnetic moment (μB/atom): 0.00
Energy of formation (kJ per mole of atoms): -10.8
Density of states at the Fermi level (states/eV/cell): 12.80
Symmetry: C2/c (15)

(6)
Material: HfPaPb2O8
Method: DFT, PBE
State: optimized geometry

Structure (POSCAR):
```
HfPaPb2O8
1.0
6.139 0.562 0.000
-2.219 5.751 0.000
-1.960 -3.157 4.919
O Pa Pb Hf
8 1 2 1
Cartesian
0.299 2.292 0.956
0.038 1.872 3.963
-0.038 -1.872 3.963
1.351 -0.747 1.542
4.787 1.309 1.542
2.910 -1.715 3.377
3.229 2.277 3.377
3.621 4.021 0.956
0.000 0.000 0.000
3.069 0.281 2.459
1.960 3.157 0.000
-1.109 2.876 2.459
```

Results
Magnetic moment (μB/atom): 0.00
ΔE_f (raw) (meV/atom): -2130
Density of states at the Fermi level (states/eV/cell): 3.22
Symmetry: I-4m2 (119)

(7)
Material: ZrTa2Ag
Method: DFT, PBE
State: optimized geometry

Structure (POSCAR):
```
ZrTa2Ag
1.0
-2.145 -0.167 -2.656
-1.157 -3.014 1.124
-4.637 3.104 3.549
Ta Ag Zr
2 1 1
Cartesian
-0.083 0.055 0.063
-2.729 -0.868 0.059
-5.170 0.765 1.927
-2.276 1.523 1.741
```

Results
Magnetic moment (μB/atom): 0.00
Offset from the most stable computed form (kJ per mole of atoms): 1.5
Energy of formation (kJ per mole of atoms): 10.9
Density of states at the Fermi level (states/eV/cell): 3.58
Symmetry: P4mm (99)

(8)
Material: NaNp3Se6
Method: DFT, PBE
State: optimized geometry

Structure (POSCAR):
```
NaNp3Se6
1.0
-3.988 -5.649 1.732
4.116 -0.565 7.639
-6.642 5.276 1.914
Se Np Na
12 6 2
Cartesian
1.064 -4.730 8.886
-4.145 1.565 2.102
-7.539 3.847 2.382
-1.226 -3.926 5.582
-3.933 -2.014 4.182
-1.983 1.923 6.843
-1.160 0.388 3.730
-2.153 -2.197 9.088
1.147 0.156 6.498
-6.577 0.442 4.315
-4.756 -0.478 7.295
-5.072 3.294 5.609
-2.879 0.532 9.239
-5.483 -4.087 2.848
-7.089 -1.090 8.925
-3.843 0.824 4.849
-1.272 -2.466 3.161
-3.669 -3.177 6.869
-8.696 -1.357 4.642
0.255 -2.310 7.479
```

Results
Magnetic moment (μB/atom): 1.00
ΔE_f (raw) (meV/atom): -1109
Density of states at the Fermi level (states/eV/cell): 62.91
Symmetry: Cmc2_1 (36)

(9)
Material: TaNb3Cr
Method: DFT, PBE
State: optimized geometry

Structure (POSCAR):
```
TaNb3Cr
1.0
4.892 0.000 0.000
0.000 4.892 0.000
0.000 0.000 4.892
Cr Nb Ta
1 3 1
Cartesian
2.446 2.446 2.446
0.000 2.446 0.000
0.000 0.000 2.446
2.446 0.000 0.000
0.000 0.000 0.000
```

Results
Magnetic moment (μB/atom): 0.64
Offset from the most stable computed form (kJ per mole of atoms): 67.5
Energy of formation (kJ per mole of atoms): 156.4
Density of states at the Fermi level (states/eV/cell): 6.79
Symmetry: Pm-3m (221)

(10)
Material: Cu3TcPd
Method: DFT, PBE
State: optimized geometry

Structure (POSCAR):
```
Cu3TcPd
1.0
-0.620 -2.654 -3.701
3.850 -2.300 1.004
-2.432 -2.965 2.533
Pd Cu Tc
1 3 1
Cartesian
0.000 0.000 0.000
-0.310 -1.327 -1.850
1.925 -1.150 0.502
-1.216 -1.482 1.267
0.399 -3.959 -0.082
```

Results
Magnetic moment (μB/atom): 0.80
Offset from the most stable computed form (kJ per mole of atoms): 0.0
Energy of formation (kJ per mole of atoms): 132.3
Density of states at the Fermi level (states/eV/cell): 4.32
Symmetry: Pm-3m (221)

(11)
Material: TiVGe4
Method: DFT, PBE
State: optimized geometry

Structure (POSCAR):
```
TiVGe4
1.0
3.294 0.000 0.000
-1.647 4.219 -1.670
0.000 0.007 6.728
Ge Ti V
4 1 1
Cartesian
-0.823 3.456 0.789
-0.823 3.478 4.256
2.470 0.769 4.269
2.470 0.747 0.803
0.823 2.113 2.529
0.823 2.109 -0.835
```

Results
Magnetic moment (μB/atom): 0.00
Energy of formation (kJ per mole of atoms): -19.1
Density of states at the Fermi level (states/eV/cell): 3.59
Symmetry: C2/m (12)

(12)
Material: Y3HoTm2As6
Method: DFT, PBE
State: optimized geometry

Structure (POSCAR):
```
Y3HoTm2As6
1.0
7.101 0.000 0.001
-3.549 6.150 0.001
-1.184 -2.049 6.694
Y As Tm Ho
3 6 2 1
Cartesian
-2.369 4.103 3.348
4.738 -0.002 3.348
1.184 2.050 3.348
2.363 4.092 1.652
-1.188 2.058 1.651
3.556 2.042 5.045
0.005 0.009 5.045
-0.008 4.101 5.045
2.376 0.000 1.651
3.552 2.049 0.001
0.000 4.101 0.001
0.000 0.000 0.000
```

Results
Magnetic moment (μB/atom): 0.00
Energy of formation (kJ per mole of atoms): -148.0
Density of states at the Fermi level (states/eV/cell): 1.88
Symmetry: C2/m (12)

(13)
Material: Nd6TlAg6
Method: DFT, PBE
State: optimized geometry

Structure (POSCAR):
```
Nd6TlAg6
1.0
-3.815 -4.579 -0.671
4.852 -0.622 3.471
-5.804 3.554 8.749
Ag Nd Tl
6 6 1
Cartesian
-1.972 2.382 8.365
-3.314 -1.428 1.784
-6.305 0.403 6.294
-3.879 0.092 8.029
1.020 0.550 3.855
-0.888 -1.740 3.520
-0.939 -0.164 6.465
-3.876 2.374 5.844
-0.926 -3.260 0.710
-3.828 -1.483 5.084
1.962 -1.941 2.090
-1.927 1.180 2.905
0.000 0.000 0.000
```

Results
Magnetic moment (μB/atom): 0.00
Energy of formation (kJ per mole of atoms): -15.3
Density of states at the Fermi level (states/eV/cell): 11.51
Symmetry: P6/mmm (191)

(14)
Material: Y2ZrTl
Method: DFT, PBE
State: optimized geometry

Structure (POSCAR):
```
Y2ZrTl
1.0
3.569 0.000 0.000
0.000 4.586 0.000
0.000 0.000 6.661
Y Zr Tl
2 1 1
Cartesian
1.784 2.293 1.784
0.000 0.000 6.603
0.000 0.000 3.303
1.784 2.293 4.963
```

Results
Magnetic moment (μB/atom): 0.00
Offset from the most stable computed form (kJ per mole of atoms): 9.1
Energy of formation (kJ per mole of atoms): -3.9
Density of states at the Fermi level (states/eV/cell): 4.36
Symmetry: Pmm2 (25)

(15)
Material: BaScTa2
Method: DFT, PBE
State: optimized geometry

Structure (POSCAR):
```
BaScTa2
1.0
4.484 0.000 0.000
0.000 3.165 0.018
0.000 3.134 7.484
Sc Ta Ba
1 2 1
Cartesian
2.242 4.724 5.627
0.000 3.150 4.316
0.000 3.134 6.919
2.242 1.575 1.876
```

Results
Magnetic moment (μB/atom): 0.00
Offset from the most stable computed form (kJ per mole of atoms): 28.8
Energy of formation (kJ per mole of atoms): 70.4
Density of states at the Fermi level (states/eV/cell): 4.74
Symmetry: P2/m (10)

(16)
Material: Cr2TeIr2
Method: DFT, PBE
State: optimized geometry

Structure (POSCAR):
```
Cr2TeIr2
1.0
3.448 0.000 0.000
0.000 3.448 0.000
1.724 1.724 6.702
Ir Te Cr
2 1 2
Cartesian
3.448 3.448 5.247
1.724 1.724 1.455
0.000 0.000 0.000
3.448 1.724 3.351
1.724 3.448 3.351
```

Results
Magnetic moment (μB/atom): 0.00
Offset from the most stable computed form (kJ per mole of atoms): 12.4
ΔE_f (raw) (meV/atom): 331
Density of states at the Fermi level (states/eV/cell): 7.24
Symmetry: I4/mmm (139)

(17)
Material: CaTlIn2Ag
Method: DFT, PBE
State: optimized geometry

Structure (POSCAR):
```
CaTlIn2Ag
1.0
5.897 0.000 0.000
0.000 5.888 0.000
0.000 0.000 5.897
Ag Ca In Tl
1 1 2 1
Cartesian
2.949 2.944 2.949
0.000 0.000 0.000
0.000 0.000 2.949
2.949 0.000 0.000
0.000 2.944 0.000
```

Results
Magnetic moment (μB/atom): 0.00
Energy of formation (kJ per mole of atoms): 69.4
Density of states at the Fermi level (states/eV/cell): 4.22
Symmetry: P4/mmm (123)

(18)
Material: NdGdDyHg
Method: DFT, PBE
State: optimized geometry

Structure (POSCAR):
```
NdGdDyHg
1.0
5.483 0.000 0.000
2.742 4.749 0.000
2.742 1.583 4.477
Nd Dy Hg Gd
1 1 1 1
Cartesian
8.225 4.749 3.358
0.000 0.000 0.000
5.483 3.166 2.239
2.742 1.583 1.119
```

Results
Magnetic moment (μB/atom): 1.98
Energy of formation (kJ per mole of atoms): -7.1
Density of states at the Fermi level (states/eV/cell): 5.45
Symmetry: F-43m (216)

(19)
Material: KTi2SnSe
Method: DFT, PBE
State: optimized geometry

Structure (POSCAR):
```
KTi2SnSe
1.0
-4.304 -2.083 -1.068
2.819 -4.457 -2.669
0.135 -2.453 4.239
Se Ti K Sn
1 2 1 1
Cartesian
0.000 0.000 0.000
-2.152 -1.041 -0.534
0.068 -1.227 2.120
-0.675 -4.497 0.251
1.410 -2.229 -1.335
```

Results
Magnetic moment (μB/atom): 0.59
ΔE_f (raw) (meV/atom): 314
Density of states at the Fermi level (states/eV/cell): 7.55
Symmetry: P4/mmm (123)

(20)
Material: Na3MnSn
Method: DFT, PBE
State: optimized geometry

Structure (POSCAR):
```
Na3MnSn
1.0
-2.391 4.022 -2.947
-1.900 -3.757 -3.585
-4.610 -0.538 3.006
Na Sn Mn
3 1 1
Cartesian
-0.950 -1.879 -1.793
-2.305 -0.269 1.503
-1.196 2.011 -1.474
-4.450 -0.137 -1.763
0.000 0.000 0.000
```

Results
Magnetic moment (μB/atom): 0.84
Offset from the most stable computed form (kJ per mole of atoms): 9.6
Energy of formation (kJ per mole of atoms): 74.1
Density of states at the Fermi level (states/eV/cell): 4.06
Symmetry: Pm-3m (221)

(21)
Material: NaCd2Pt
Method: DFT, PBE
State: optimized geometry

Structure (POSCAR):
```
NaCd2Pt
1.0
4.320 0.000 0.000
0.000 4.320 0.000
2.160 2.160 9.674
Cd Na Pt
4 2 2
Cartesian
3.368 1.080 2.418
0.952 3.240 2.418
3.240 3.112 7.255
5.400 5.528 7.255
2.160 4.320 4.837
2.160 2.160 0.000
0.000 0.000 0.000
4.320 2.160 4.837
```

Results
Magnetic moment (μB/atom): 0.00
Offset from the most stable computed form (kJ per mole of atoms): 27.6
Energy of formation (kJ per mole of atoms): 2.2
Density of states at the Fermi level (states/eV/cell): 2.82
Symmetry: I-42d (122)

(22)
Material: La6NiAu2Br3
Method: DFT, PBE
State: optimized geometry

Structure (POSCAR):
```
La6NiAu2Br3
1.0
4.368 0.000 0.000
0.000 9.085 0.009
-2.184 -2.936 9.233
Br La Au Ni
3 6 2 1
Cartesian
0.000 6.660 3.194
2.184 4.542 0.005
2.184 -0.511 6.048
2.184 4.286 3.191
2.184 -0.009 2.687
0.000 2.019 0.061
2.184 4.130 9.181
0.000 1.863 6.051
0.000 6.158 6.555
2.184 3.999 6.180
0.000 2.150 3.062
2.184 0.000 0.000
```

Results
Magnetic moment (μB/atom): 0.00
ΔE_f (raw) (meV/atom): -977
Density of states at the Fermi level (states/eV/cell): 12.27
Symmetry: C2/m (12)

(23)
Material: LaGaRu3
Method: DFT, PBE
State: optimized geometry

Structure (POSCAR):
```
LaGaRu3
1.0
-3.463 3.240 1.168
-3.231 -2.484 -2.691
-1.191 -2.681 3.905
Ru Ga La
3 1 1
Cartesian
-1.616 -1.242 -1.346
-1.732 1.620 0.584
-0.596 -1.341 1.952
-3.943 -0.963 1.191
0.000 0.000 0.000
```

Results
Magnetic moment (μB/atom): 0.73
Offset from the most stable computed form (kJ per mole of atoms): 126.6
Energy of formation (kJ per mole of atoms): 171.1
Density of states at the Fermi level (states/eV/cell): 10.03
Symmetry: Pm-3m (221)

(24)
Material: Na5Tl2S5
Method: DFT, PBE
State: optimized geometry

Structure (POSCAR):
```
Na5Tl2S5
1.0
4.029 0.000 0.000
-2.015 6.344 -1.949
0.000 -0.069 11.646
Na S Tl
5 5 2
Cartesian
0.000 4.296 9.746
2.015 -0.035 5.823
2.015 2.996 3.290
0.000 3.279 6.407
2.015 1.978 -0.049
2.014 4.921 5.363
0.000 0.000 0.000
2.014 2.290 8.631
0.000 1.353 4.334
0.000 3.985 1.066
0.000 0.479 9.011
2.015 5.796 0.686
```

Results
Magnetic moment (μB/atom): 0.00
ΔE_f (raw) (meV/atom): -737
Density of states at the Fermi level (states/eV/cell): 4.61
Symmetry: C2/m (12)

(25)
Material: LiNb4SnN8
Method: DFT, PBE
State: optimized geometry

Structure (POSCAR):
```
LiNb4SnN8
1.0
6.269 0.000 0.000
3.135 5.429 0.000
3.135 1.810 5.139
Nb N Sn Li
4 8 1 1
Cartesian
4.680 0.917 2.593
1.589 0.917 2.593
6.269 3.620 0.697
3.135 3.595 2.593
9.404 5.429 3.777
4.590 2.650 3.712
6.269 5.559 3.712
6.269 1.786 1.396
7.857 4.536 1.396
7.949 2.650 3.712
4.681 4.536 1.396
3.135 1.810 1.394
6.269 3.620 4.433
3.135 1.810 5.135
```

Results
Magnetic moment (μB/atom): 0.00
ΔE_f (raw) (meV/atom): -550
Density of states at the Fermi level (states/eV/cell): 3.31
Symmetry: R3m (160)